1.
The following is a PBE calculation of a relaxed structure of Sc5Pb3, from Alexandria via LeMat-Bulk.

Cell: 8.601 8.601 8.601 Å, 96.96 96.96 139.26°
Atoms (fractional coordinates):
Sc 0.079 0.775 0.854
Sc 0.225 0.079 0.304
Sc 0.250 0.750 0.500
Sc 0.275 0.579 0.854
Sc 0.421 0.275 0.696
Sc 0.579 0.725 0.304
Sc 0.725 0.421 0.146
Sc 0.750 0.250 0.500
Sc 0.775 0.921 0.696
Sc 0.921 0.225 0.146
Pb 0.164 0.336 0.500
Pb 0.250 0.250 0.000
Pb 0.336 0.836 0.173
Pb 0.664 0.164 0.827
Pb 0.750 0.750 0.000
Pb 0.836 0.664 0.500

Computed properties:
Energy above the lowest structure with this stoichiometry (meV/atom): 53.0
Symmetry: No. 140
Energy of formation (meV per atom): -416
Fermi-level density of states (states/eV/atom): 1.07

=====

2.
The following is a PBE calculation of a relaxed structure of MnRhN3, from Alexandria via LeMat-Bulk.

Cell: 3.799 3.799 3.799 Å, 90.00 90.00 90.00°
Atoms (fractional coordinates):
Mn 0.000 0.000 0.000
Rh 0.500 0.500 0.500
N 0.000 0.500 0.500
N 0.500 0.000 0.500
N 0.500 0.500 0.000

Computed properties:
Formation energy from raw total energies (meV/atom): 1971
Symmetry: No. 221
Fermi-level density of states (states/eV/atom): 1.53